A plane-wave DFT calculation with GGA+U was carried out for a relaxed Ca3CrF6 crystal.

total magnetization = 5.72 Bohr magnetons per cell

Unit cell a=3.454 b=7.556 c=7.561 alpha=117.61 beta=98.96 gamma=98.50
Space group P-1 (No. 2)
Asymmetric unit:
Ca 0.000 0.000 0.000 x1
Ca 0.000 0.500 0.500 x1
Ca 0.500 0.000 0.500 x1
Cr 0.000 0.500 0.000 x1
F 0.077 0.224 0.556 x2
F 0.355 0.331 0.277 x2
F 0.475 0.056 0.832 x2

A plane-wave DFT calculation with GGA+U was carried out for a relaxed CaCr3F crystal.

total magnetization = 15.00 Bohr magnetons per cell
polymorph energy (0 for the lowest one) = 1231 meV/atom

Unit cell a=5.836 b=5.836 c=5.836 alpha=90.00 beta=90.00 gamma=90.00
Space group Pm-3m (No. 221)
Asymmetric unit:
Ca 0.000 0.000 0.000 x1
Cr 0.000 0.000 0.500 x3
F 0.500 0.500 0.500 x1

A plane-wave DFT calculation with GGA+U was carried out for a relaxed CaCrF4 crystal.

total magnetization = 16.00 Bohr magnetons per cell
polymorph energy (0 for the lowest one) = 201 meV/atom

Unit cell a=6.870 b=6.870 c=8.061 alpha=90.00 beta=90.00 gamma=90.00
Space group I4_1/amd (No. 141, origin choice 2)
Asymmetric unit:
Ca 0.000 0.250 0.375 x4
Cr 0.000 0.250 0.875 x4
F 0.000 0.040 0.174 x16

A plane-wave DFT calculation with GGA+U was carried out for a relaxed CaCr2F crystal.

total magnetization = 43.40 Bohr magnetons per cell
polymorph energy (0 for the lowest one) = 363 meV/atom

Unit cell a=7.202 b=7.202 c=7.202 alpha=90.00 beta=90.00 gamma=90.00
Space group Fm-3m (No. 225)
Asymmetric unit:
Ca 0.000 0.000 0.000 x4
Cr 0.250 0.250 0.250 x8
F 0.000 0.000 0.500 x4

A plane-wave DFT calculation with GGA+U was carried out for a relaxed CaCr3F crystal.

total magnetization = 14.19 Bohr magnetons per cell
polymorph energy (0 for the lowest one) = 0 meV/atom

Unit cell a=4.785 b=4.785 c=4.785 alpha=90.00 beta=90.00 gamma=90.00
Space group Pm-3m (No. 221)
Asymmetric unit:
Ca 0.000 0.000 0.000 x1
Cr 0.000 0.500 0.500 x3
F 0.500 0.500 0.500 x1

A plane-wave DFT calculation with GGA+U was carried out for a relaxed CaCrF4 crystal.

total magnetization = 16.00 Bohr magnetons per cell
polymorph energy (0 for the lowest one) = 0 meV/atom

Unit cell a=5.496 b=5.496 c=10.771 alpha=90.00 beta=90.00 gamma=90.00
Space group I4/mcm (No. 140)
Asymmetric unit:
Ca 0.000 0.000 0.250 x4
Cr 0.000 0.500 0.000 x4
F 0.189 0.311 0.129 x16

A plane-wave DFT calculation with GGA+U was carried out for a relaxed CaCr2F12 crystal.

total magnetization = 2.00 Bohr magnetons per cell

Unit cell a=5.388 b=5.649 c=9.214 alpha=105.46 beta=90.84 gamma=118.24
Space group P-1 (No. 2)
Asymmetric unit:
Ca 0.000 0.000 0.000 x1
Cr 0.242 0.496 0.734 x2
F 0.132 0.718 0.314 x2
F 0.200 0.722 0.911 x2
F 0.245 0.729 0.642 x2
F 0.247 0.287 0.858 x2
F 0.303 0.279 0.584 x2
F 0.364 0.274 0.201 x2

A plane-wave DFT calculation with GGA+U was carried out for a relaxed CaCrF5 crystal.

total magnetization = 6.00 Bohr magnetons per cell
polymorph energy (0 for the lowest one) = 13 meV/atom

Unit cell a=3.893 b=6.632 c=8.237 alpha=90.00 beta=90.00 gamma=90.00
Space group Immm (No. 71)
Asymmetric unit:
Ca 0.000 0.000 0.000 x2
Cr 0.000 0.000 0.500 x2
F 0.000 0.000 0.267 x4
F 0.000 0.295 0.500 x4
F 0.000 0.500 0.000 x2

A plane-wave DFT calculation with GGA+U was carried out for a relaxed CaCrF5 crystal.

total magnetization = 12.00 Bohr magnetons per cell
polymorph energy (0 for the lowest one) = 0 meV/atom

Unit cell a=9.093 b=6.567 c=7.672 alpha=90.00 beta=115.04 gamma=90.00
Space group C2/c (No. 15)
Asymmetric unit:
Ca 0.000 0.042 0.250 x4
Cr 0.000 0.500 0.000 x4
F 0.000 0.422 0.250 x4
F 0.011 0.206 0.971 x8
F 0.231 0.480 0.619 x8

A plane-wave DFT calculation with GGA+U was carried out for a relaxed Ca3Cr5F12 crystal.

total magnetization = 191.99 Bohr magnetons per cell

Unit cell a=13.412 b=13.412 c=13.412 alpha=90.00 beta=90.00 gamma=90.00
Space group Ia-3d (No. 230)
Asymmetric unit:
Ca 0.000 0.250 0.125 x24
Cr 0.000 0.000 0.000 x16
Cr 0.000 0.250 0.375 x24
F 0.015 0.069 0.652 x96

A plane-wave DFT calculation with GGA+U was carried out for a relaxed CaCr2FeF crystal.

total magnetization = 6.41 Bohr magnetons per cell
polymorph energy (0 for the lowest one) = 1573 meV/atom

Unit cell a=5.665 b=5.665 c=6.066 alpha=90.00 beta=90.00 gamma=90.00
Space group P4/mmm (No. 123)
Asymmetric unit:
Ca 0.000 0.000 0.000 x1
Cr 0.000 0.500 0.000 x2
Fe 0.000 0.000 0.500 x1
F 0.500 0.500 0.500 x1

A plane-wave DFT calculation with GGA+U was carried out for a relaxed CaCr2FeF crystal.

total magnetization = 12.71 Bohr magnetons per cell
polymorph energy (0 for the lowest one) = 0 meV/atom

Unit cell a=4.849 b=4.849 c=6.195 alpha=90.00 beta=90.00 gamma=90.00
Space group P4/mmm (No. 123)
Asymmetric unit:
Ca 0.000 0.000 0.000 x1
Cr 0.000 0.500 0.500 x2
Fe 0.000 0.000 0.500 x1
F 0.500 0.500 0.000 x1

A plane-wave DFT calculation with GGA+U was carried out for a relaxed CaCr2IF crystal.

total magnetization = 9.83 Bohr magnetons per cell

Unit cell a=5.266 b=5.266 c=5.857 alpha=90.00 beta=90.00 gamma=90.00
Space group P4/mmm (No. 123)
Asymmetric unit:
Ca 0.000 0.000 0.000 x1
Cr 0.000 0.500 0.500 x2
I 0.500 0.500 0.500 x1
F 0.500 0.500 0.000 x1

A plane-wave DFT calculation with GGA+U was carried out for a relaxed Ca2CrIF crystal.

total magnetization = 4.18 Bohr magnetons per cell

Unit cell a=5.776 b=5.776 c=4.157 alpha=90.00 beta=90.00 gamma=90.00
Space group P4/mmm (No. 123)
Asymmetric unit:
Ca 0.000 0.500 0.000 x2
Cr 0.000 0.000 0.500 x1
I 0.500 0.500 0.500 x1
F 0.000 0.000 0.000 x1

A plane-wave DFT calculation with GGA+U was carried out for a relaxed CaCr2InF crystal.

total magnetization = 10.28 Bohr magnetons per cell

Unit cell a=5.749 b=5.749 c=4.609 alpha=90.00 beta=90.00 gamma=90.00
Space group P4/mmm (No. 123)
Asymmetric unit:
Ca 0.000 0.000 0.000 x1
Cr 0.000 0.500 0.500 x2
In 0.500 0.500 0.500 x1
F 0.500 0.500 0.000 x1

A plane-wave DFT calculation with GGA+U was carried out for a relaxed K3CaCr2F9 crystal.

total magnetization = 8.00 Bohr magnetons per cell

Unit cell a=6.0796 b=6.0796 c=7.4635 alpha=90.00 beta=90.00 gamma=120.00
Space group P-3m1 (No. 164)
Asymmetric unit:
K 0.0000 0.0000 0.0000 x1
K 0.3333 0.6667 0.6739 x2
Ca 0.0000 0.0000 0.5000 x1
Cr 0.3333 0.6667 0.1583 x2
F 0.0000 0.5000 0.0000 x3
F 0.1707 0.3415 0.3237 x6

A plane-wave DFT calculation with GGA+U was carried out for a relaxed Li2CaCrF6 crystal.

total magnetization = 4.00 Bohr magnetons per cell

Unit cell a=5.357 b=5.367 c=5.644 alpha=114.52 beta=90.22 gamma=117.84
Space group P1 (No. 1)
Asymmetric unit:
Li 0.000 0.000 0.000 x1
Li 0.457 0.006 0.489 x1
Ca 0.251 0.542 0.830 x1
Cr 0.753 0.549 0.335 x1
F 0.173 0.043 0.687 x1
F 0.320 0.011 0.166 x1
F 0.527 0.725 0.571 x1
F 0.684 0.719 0.097 x1
F 0.819 0.399 0.597 x1
F 0.990 0.381 0.114 x1

A plane-wave DFT calculation with GGA+U was carried out for a relaxed Li2CaCrF8 crystal.

total magnetization = 3.97 Bohr magnetons per cell

Unit cell a=6.954 b=6.508 c=6.689 alpha=90.00 beta=93.92 gamma=90.00
Space group C2/m (No. 12)
Asymmetric unit:
Li 0.024 0.000 0.218 x4
Ca 0.000 0.500 0.000 x2
Cr 0.000 0.500 0.500 x2
F 0.002 0.301 0.294 x8
F 0.185 0.000 0.993 x4
F 0.238 0.000 0.476 x4

A plane-wave DFT calculation with GGA+U was carried out for a relaxed CaMgCr2F crystal.

total magnetization = 10.28 Bohr magnetons per cell

Unit cell a=5.832 b=5.832 c=3.797 alpha=90.00 beta=90.00 gamma=90.00
Space group P4/mmm (No. 123)
Asymmetric unit:
Ca 0.000 0.000 0.000 x1
Mg 0.500 0.500 0.500 x1
Cr 0.000 0.500 0.500 x2
F 0.500 0.500 0.000 x1

A plane-wave DFT calculation with GGA+U was carried out for a relaxed CaMgCrF6 crystal.

total magnetization = 8.00 Bohr magnetons per cell

Unit cell a=5.3952 b=5.3952 c=9.7587 alpha=90.00 beta=90.00 gamma=120.00
Space group P-31c (No. 163)
Asymmetric unit:
Ca 0.0000 0.0000 0.0000 x2
Mg 0.3333 0.6667 0.2500 x2
Cr 0.3333 0.6667 0.7500 x2
F 0.0163 0.3566 0.1375 x12

no.,energy (eV/f.u.)
1,-56.5
2,-20.1
3,-35.4
4,-18.4
5,-26.3
6,-36.6
7,-75.4
8,-41.6
9,-41.7
10,-116.5
11,-13.1
12,-21.0
13,-20.3
14,-19.1
15,-21.7
16,-80.4
17,-55.5
18,-63.5
19,-21.7
20,-51.6